A geometry-optimized TlVCoF6 structure, computed with GGA+U.

abc: 5.437 5.437 6.055
angles: 90.36 90.36 119.19
Atoms (fractional coordinates):
Tl 0.000 0.000 0.000
V 0.666 0.334 0.500
Co 0.330 0.670 0.500
F 0.382 0.015 0.680
F 0.389 0.382 0.315
F 0.618 0.611 0.685
F 0.621 0.012 0.317
F 0.985 0.618 0.320
F 0.988 0.379 0.683

The crystal system is monoclinic. The total DFT energy (no corrections) comes out at -5.3162 eV/atom. The density of states at the Fermi level is 0.000 states/eV/cell. The space group is C2 (5).